[1]
MnSbOs2 after structural relaxation. Source: the Alexandria database, functional PBE-GGA.

The space group is Pmm2 (No. 25) and the conventional cell measures 2.9370, 3.9445 and 5.4526 Å, with angles of 90.00, 90.00 and 90.00 degrees. Symmetry generates all atoms from Mn at (0.0000, 0.0000, 0.0000), Sb at (0.5000, 0.5000, 0.7240), Os at (0.0000, 0.0000, 0.4560) and Os at (0.5000, 0.5000, 0.2242).

The raw formation energy is 0.419 eV/atom. The value obtained for the density is 14.65 g cm⁻³.

---

[2]
MnSbOs2 after structural relaxation. Source: the Alexandria database, functional PBE-GGA.

The space group is Imm2 (No. 44) and the conventional cell measures 3.1620, 4.3870 and 8.8999 Å, with angles of 90.00, 90.00 and 90.00 degrees. Symmetry generates all atoms from Mn at (0.0000, 0.0000, 0.0000), Sb at (0.0000, 0.5000, 0.2603), Os at (0.0000, 0.0000, 0.5147) and Os at (0.0000, 0.5000, 0.7414).

The raw formation energy is 0.524 eV/atom. The value obtained for the density is 14.99 g cm⁻³.

---

[3]
MnSbOs2 after structural relaxation. Source: the Alexandria database, functional PBE-GGA.

The space group is I-42d (No. 122) and the conventional cell measures 5.5045, 5.5045 and 11.4178 Å, with angles of 90.00, 90.00 and 90.00 degrees. Symmetry generates all atoms from Mn at (0.0000, 0.0000, 0.0000), Sb at (0.0000, 0.0000, 0.5000) and Os at (0.1950, 0.2500, 0.1250).

The raw formation energy is 1.051 eV/atom. The value obtained for the density is 10.70 g cm⁻³.

---

[4]
MnSb2Os after structural relaxation. Source: the Alexandria database, functional PBE-GGA.

The space group is F-43m (No. 216) and the conventional cell measures 6.7549, 6.7549 and 6.7549 Å, with angles of 90.00, 90.00 and 90.00 degrees. Symmetry generates all atoms from Mn at (0.0000, 0.0000, 0.0000), Sb at (0.0000, 0.0000, 0.5000), Sb at (0.2500, 0.2500, 0.7500) and Os at (0.2500, 0.2500, 0.2500).

The raw formation energy is 0.741 eV/atom. The value obtained for the density is 10.53 g cm⁻³. The energy above the most stable polymorph in this dataset comes out at 0.527 eV/atom.

---

Question: Among the records above, which one has the highest raw formation energy?
Answer: number 3